No. 1
Density functional theory data (PBE) for an optimized crystal structure of Ce5NdIr5.

The structure in extended XYZ format:
```
11
Lattice="5.730 0.000 0.000 -2.865 6.369 -0.086 0.000 -2.480 7.747" Properties=species:S:1:pos:R:3 pbc="T T T"
Ir 2.865 3.819 1.336
Ir 2.865 0.000 0.000
Ir 2.865 2.563 4.993
Ir 0.000 1.326 2.668
Ir 0.000 0.069 6.324
Nd 0.000 0.000 0.000
Ce 0.000 -1.240 3.874
Ce 0.000 3.787 1.154
Ce 2.865 0.102 6.506
Ce 0.000 2.552 5.143
Ce 2.865 1.337 2.517
```

## Properties
Symmetry = C2/m, No. 12

---

No. 2
Density functional theory data (PBE) for an optimized crystal structure of DyReMo.

The structure in extended XYZ format:
```
12
Lattice="5.164 0.000 0.000 2.582 4.605 0.000 2.582 0.000 9.987" Properties=species:S:1:pos:R:3 pbc="T T T"
Mo 3.873 2.302 6.660
Mo 3.873 2.302 3.328
Mo 5.164 0.000 8.322
Mo 2.582 0.000 1.666
Dy 2.582 3.058 0.000
Dy 6.455 0.755 4.994
Dy 6.455 3.849 4.994
Dy 5.164 1.547 0.000
Re 6.455 2.302 2.508
Re 2.582 0.000 7.501
Re 5.164 0.000 2.486
Re 6.455 2.302 7.480
```

## Properties
Symmetry = Fddd, No. 70

---

No. 3
Density functional theory data (PBE) for an optimized crystal structure of KSiSeO6.

The structure in extended XYZ format:
```
18
Lattice="-4.675 0.306 -1.015 3.084 -1.513 -3.343 -1.590 -11.660 3.810" Properties=species:S:1:pos:R:3 pbc="T T T"
O 0.255 -9.173 -1.168
O -1.271 -2.699 -2.069
O -3.434 -3.693 0.620
O -2.029 -1.842 0.238
O -2.034 -8.536 -0.174
O -3.271 -4.512 -1.817
O 0.583 -10.651 1.081
O -1.145 -4.330 -0.374
O -1.151 -11.025 -0.787
O -3.763 -2.216 -1.629
O 0.091 -8.355 1.269
O -1.908 -10.168 1.521
Se -3.280 -9.045 1.066
Se 0.101 -3.821 -1.614
K 0.000 0.000 0.000
K -0.795 -5.830 1.905
Si -0.694 -9.651 0.290
Si -2.486 -3.215 -0.839
```

## Properties
Symmetry = P-31c, No. 163

---

No. 4
Density functional theory data (PBE) for an optimized crystal structure of Y2Mo.

The structure in extended XYZ format:
```
6
Lattice="-2.808 2.381 4.598 -1.891 -5.085 -2.294 2.957 -2.498 3.099" Properties=species:S:1:pos:R:3 pbc="T T T"
Y -1.469 -2.945 2.995
Y 0.433 -0.362 3.263
Y 0.774 -3.144 0.695
Y 0.000 0.000 0.000
Mo -2.502 -0.108 2.301
Mo -2.196 -2.596 0.003
```

## Properties
Symmetry = P-62m, No. 189

---

No. 5
Density functional theory data (PBE) for an optimized crystal structure of TmThCuSi.

The structure in extended XYZ format:
```
4
Lattice="4.985 0.000 0.000 2.493 4.317 0.000 2.493 1.439 4.070" Properties=species:S:1:pos:R:3 pbc="T T T"
Cu 2.493 1.439 1.018
Tm 0.000 0.000 0.000
Si 7.478 4.317 3.053
Th 4.985 2.878 2.035
```

## Properties
Symmetry = F-43m, No. 216

---

No. 6
Density functional theory data (PBE) for an optimized crystal structure of KSe2I6.

The structure in extended XYZ format:
```
9
Lattice="0.003 0.301 7.121 -6.516 -1.629 3.638 1.168 -9.132 3.952" Properties=species:S:1:pos:R:3 pbc="T T T"
Se -1.938 -0.864 7.171
Se -3.407 -9.596 7.540
I -2.176 -3.605 7.287
I -3.169 -6.855 7.424
I -5.467 -2.974 10.828
I 0.122 -7.487 3.883
I -3.311 -9.429 11.100
I -2.035 -1.032 3.611
K -2.674 -5.380 3.795
```

## Properties
Symmetry = C2/m, No. 12

---

No. 7
Density functional theory data (PBE) for an optimized crystal structure of KSbAs2.

The structure in extended XYZ format:
```
4
Lattice="-0.114 -1.987 -5.888 -0.812 -6.135 -0.574 -2.373 5.403 1.951" Properties=species:S:1:pos:R:3 pbc="T T T"
As -1.526 -0.774 -3.943
As -0.909 -7.975 -6.344
K -0.470 -4.125 -3.282
Sb -1.782 -2.030 -0.635
```

## Properties
Symmetry = Imm2, No. 44

---

No. 8
Density functional theory data (PBE) for an optimized crystal structure of InAsOs.

The structure in extended XYZ format:
```
3
Lattice="6.625 0.008 0.000 5.222 4.076 0.000 -5.923 -2.042 2.152" Properties=species:S:1:pos:R:3 pbc="T T T"
Os 7.688 2.650 0.000
In 3.681 1.269 0.000
As 0.477 0.164 0.000
```

## Properties
Symmetry = I4mm, No. 107

---

No. 9
Density functional theory data (PBE) for an optimized crystal structure of YPdPt2F.

The structure in extended XYZ format:
```
5
Lattice="-4.225 -2.895 0.245 2.827 -3.970 1.845 -0.838 1.629 4.789" Properties=species:S:1:pos:R:3 pbc="T T T"
Pt -2.113 -1.447 0.123
Pt -0.419 0.815 2.395
F -1.118 -2.618 3.440
Y 0.000 0.000 0.000
Pd 1.413 -1.985 0.923
```

## Properties
Symmetry = P4/mmm, No. 123

---

No. 10
Density functional theory data (PBE) for an optimized crystal structure of CaHg3C.

The structure in extended XYZ format:
```
5
Lattice="-3.136 1.475 5.103 -3.815 -4.748 -0.972 3.696 -3.650 3.326" Properties=species:S:1:pos:R:3 pbc="T T T"
Ca 0.000 0.000 0.000
Hg -1.568 0.737 2.551
Hg -1.908 -2.374 -0.486
Hg 1.848 -1.825 1.663
C -1.628 -3.462 3.728
```

## Properties
Symmetry = Pm-3m, No. 221

---

No. 11
Density functional theory data (PBE) for an optimized crystal structure of LiAl2W.

The structure in extended XYZ format:
```
4
Lattice="5.352 -0.008 0.004 2.697 4.623 -0.004 -3.470 -3.275 2.425" Properties=species:S:1:pos:R:3 pbc="T T T"
Al 1.645 1.839 1.210
Al 0.001 0.000 0.000
Li 3.994 2.290 0.000
W 2.964 -0.481 1.215
```

## Properties
Symmetry = Imm2, No. 44

---

No. 12
Density functional theory data (PBE) for an optimized crystal structure of SrTc3Ir.

The structure in extended XYZ format:
```
5
Lattice="-3.946 -1.447 -1.920 2.332 -1.406 -3.733 0.584 -4.157 1.931" Properties=species:S:1:pos:R:3 pbc="T T T"
Tc 1.166 -0.703 -1.866
Tc 0.292 -2.078 0.966
Tc -1.973 -0.723 -0.960
Sr 0.000 0.000 0.000
Ir -0.515 -3.505 -1.861
```

## Properties
Symmetry = Pm-3m, No. 221

---

No. 13
Density functional theory data (PBE) for an optimized crystal structure of Y7Sn2Bi2.

The structure in extended XYZ format:
```
11
Lattice="7.007 -0.004 -0.595 0.003 7.424 0.003 -1.031 -0.002 6.956" Properties=species:S:1:pos:R:3 pbc="T T T"
Sn 4.905 3.708 5.221
Sn 1.075 3.711 1.144
Y 2.990 5.398 3.183
Y 6.494 5.312 2.885
Y 2.473 2.104 6.659
Y -0.514 2.107 3.480
Y 3.506 5.314 -0.295
Y 2.989 2.020 3.181
Y 0.000 0.000 0.000
Bi 4.739 -0.003 1.535
Bi 1.240 7.421 4.829
```

## Properties
Symmetry = Cmmm, No. 65

---

No. 14
Density functional theory data (PBE) for an optimized crystal structure of TbHo3Hg2.

The structure in extended XYZ format:
```
12
Lattice="5.091 0.000 0.000 0.000 7.061 0.000 0.000 0.000 9.206" Properties=species:S:1:pos:R:3 pbc="T T T"
Tb 2.545 0.110 4.091
Tb 2.545 3.640 5.115
Ho 0.000 6.950 0.513
Ho 0.000 5.868 6.223
Ho 0.000 3.419 8.693
Ho 2.545 1.196 7.605
Ho 0.000 2.337 2.982
Ho 2.545 4.726 1.601
Hg 0.000 5.378 3.229
Hg 2.545 5.214 7.837
Hg 2.545 1.683 1.369
Hg 0.000 1.847 5.977
```

## Properties
Symmetry = Pmc2_1, No. 26

---

No. 15
Density functional theory data (PBE) for an optimized crystal structure of Ca2Al2Sb.

The structure in extended XYZ format:
```
10
Lattice="7.444 0.000 0.000 0.000 7.444 0.000 0.000 0.000 4.747" Properties=species:S:1:pos:R:3 pbc="T T T"
Ca 6.161 2.439 2.373
Ca 2.439 1.283 2.373
Ca 1.283 5.005 2.373
Ca 5.005 6.161 2.373
Sb 0.000 0.000 0.000
Sb 3.722 3.722 0.000
Al 2.797 6.519 0.000
Al 0.925 2.797 0.000
Al 6.519 4.647 0.000
Al 4.647 0.925 0.000
```

## Properties
Symmetry = P4/mbm, No. 127

---

No. 16
Density functional theory data (PBE) for an optimized crystal structure of Li2Er3Tl4.

The structure in extended XYZ format:
```
9
Lattice="4.897 0.000 0.000 -2.449 5.399 -0.767 0.000 -3.290 8.746" Properties=species:S:1:pos:R:3 pbc="T T T"
Er 0.000 0.000 0.000
Er 2.449 -0.441 5.534
Er 0.000 2.549 2.445
Li 2.449 0.306 2.369
Li 0.000 1.802 5.609
Tl 2.449 2.701 4.751
Tl 0.000 -0.064 7.596
Tl 0.000 -0.592 3.228
Tl 2.449 2.173 0.383
```

## Properties
Symmetry = C2/m, No. 12

---

No. 17
Density functional theory data (PBE) for an optimized crystal structure of BaHfAg2Cl8.

The structure in extended XYZ format:
```
12
Lattice="6.517 -0.497 -0.026 -0.511 7.006 1.084 0.010 1.516 8.671" Properties=species:S:1:pos:R:3 pbc="T T T"
Ag 2.925 4.755 3.241
Ag 3.091 3.270 6.488
Ba 0.005 0.758 4.335
Cl 3.930 5.205 0.972
Cl 5.765 2.326 6.651
Cl 0.515 6.878 8.245
Cl 0.250 5.700 3.078
Cl 2.639 2.307 4.127
Cl 5.500 1.147 1.484
Cl 2.086 2.820 8.757
Cl 3.377 5.718 5.602
Hf 0.000 0.000 0.000
```

## Properties
Symmetry = P-1, No. 2

---

No. 18
Density functional theory data (PBE) for an optimized crystal structure of PmGdIrOs.

The structure in extended XYZ format:
```
4
Lattice="4.920 0.000 0.000 2.460 4.261 0.000 2.460 1.420 4.017" Properties=species:S:1:pos:R:3 pbc="T T T"
Pm 2.460 1.420 1.004
Os 4.920 2.841 2.009
Gd 7.381 4.261 3.013
Ir 0.000 0.000 0.000
```

## Properties
Symmetry = F-43m, No. 216

---

No. 19
Density functional theory data (PBE) for an optimized crystal structure of Zr2FeHg.

The structure in extended XYZ format:
```
4
Lattice="-5.925 3.614 -2.977 1.238 -4.543 -0.456 -3.183 -0.973 1.055" Properties=species:S:1:pos:R:3 pbc="T T T"
Zr -4.554 1.321 -0.961
Zr 0.000 0.000 0.000
Hg -2.344 -0.464 -1.716
Fe -0.973 -2.758 0.300
```

## Properties
Symmetry = P4/mmm, No. 123

---

No. 20
Density functional theory data (PBE) for an optimized crystal structure of CaTl6Sn12.

The structure in extended XYZ format:
```
19
Lattice="-1.401 5.458 -6.218 -5.076 -6.109 -2.710 -5.218 3.369 5.643" Properties=species:S:1:pos:R:3 pbc="T T T"
Sn -6.253 5.860 -1.785
Sn -3.073 3.127 -4.744
Sn -5.802 -0.609 0.224
Sn -5.892 3.328 -3.509
Sn -8.621 -0.408 1.459
Sn -4.413 0.520 -3.787
Sn -5.442 -3.141 -1.500
Sn -6.618 -0.455 -5.711
Sn -7.281 2.199 0.502
Sn -5.077 3.174 2.426
Sn -7.087 -0.817 -2.685
Sn -4.607 3.536 -0.600
Tl -1.905 2.262 -1.834
Tl -3.118 0.833 1.301
Tl -2.778 -1.281 -1.658
Tl -8.576 1.886 -4.586
Tl -8.916 4.000 -1.627
Tl -9.789 0.457 -1.451
Ca 0.000 0.000 0.000
```

## Properties
Symmetry = R-3, No. 148

---

No. 21
Density functional theory data (PBE) for an optimized crystal structure of TmScTe.

The structure in extended XYZ format:
```
3
Lattice="-0.599 0.346 3.691 3.378 -1.490 0.688 0.807 5.502 -2.296" Properties=species:S:1:pos:R:3 pbc="T T T"
Te 2.176 1.194 2.152
Sc 1.407 3.159 -0.068
Tm 0.002 0.006 0.000
```

## Properties
Symmetry = I4mm, No. 107

---

No. 22
Density functional theory data (PBE) for an optimized crystal structure of CePrEr6.

The structure in extended XYZ format:
```
8
Lattice="6.180 -0.217 2.204 0.765 6.236 -1.475 0.681 -1.691 7.197" Properties=species:S:1:pos:R:3 pbc="T T T"
Er 4.400 3.739 3.863
Er 1.419 3.755 2.438
Er 6.206 0.573 5.489
Er 3.961 -0.227 7.922
Er 3.225 0.589 4.063
Er 3.665 4.555 0.004
Ce 0.382 3.118 -0.737
Pr 0.000 0.000 0.000
```

## Properties
Symmetry = P-1, No. 2

---

No. 23
Density functional theory data (PBE) for an optimized crystal structure of CsW4.

The structure in extended XYZ format:
```
5
Lattice="4.821 0.000 0.000 0.000 4.821 0.000 0.000 0.000 4.821" Properties=species:S:1:pos:R:3 pbc="T T T"
Cs 2.410 2.410 2.410
W 0.000 0.000 0.000
W 0.000 2.410 2.410
W 2.410 0.000 2.410
W 2.410 2.410 0.000
```

## Properties
Symmetry = Pm-3m, No. 221

---

No. 24
Density functional theory data (PBE) for an optimized crystal structure of MnCo3H.

The structure in extended XYZ format:
```
5
Lattice="-1.837 -1.084 2.850 -1.967 -2.120 -2.075 2.329 -2.645 0.495" Properties=species:S:1:pos:R:3 pbc="T T T"
Mn -0.737 -2.925 0.635
Co -0.918 -0.542 1.425
Co -0.984 -1.060 -1.037
Co 1.165 -1.323 0.248
H 0.000 0.000 0.000
```

## Properties
Symmetry = Pm-3m, No. 221

---

No. 25
Density functional theory data (PBE) for an optimized crystal structure of ReN.

The structure in extended XYZ format:
```
12
Lattice="8.088 0.000 0.000 -4.044 7.005 0.000 0.000 0.000 2.841" Properties=species:S:1:pos:R:3 pbc="T T T"
N 1.710 2.082 0.710
N -1.386 6.565 2.131
N 5.430 0.440 0.710
N 4.992 4.483 0.710
N 2.334 4.923 2.131
N -0.948 2.522 2.131
Re 5.686 2.473 0.710
Re 3.104 3.688 0.710
Re -1.642 4.532 2.131
Re 3.343 0.844 0.710
Re 0.702 6.161 2.131
Re 0.940 3.317 2.131
```

## Properties
Symmetry = P6_3/m, No. 176

---

The calculation returns the following E values, one per record and in order: -7.7781, -8.9940, -5.7544, -7.4302, -5.6869, -2.1918, -3.6186, -6.0254, -4.3582, -0.9576, -5.5717, -5.1617, -5.8468, -3.5232, -3.4711, -3.2676, -4.2239, -9.9996, -6.4721, -3.3583, -5.3759, -4.5443, -6.2547, -6.7215, -10.2553 eV per atom.